[1]
Tb2LuSb | PBE | relaxed

Calculated values
For the spin magnetization, the calculation gives 0.0 μB per cell. The uncorrected formation energy is -503 meV per atom. As for the symmetry: P4/mmm, No. 123.

Unit cell a=4.1374 b=4.1374 c=6.6226 alpha=90.00 beta=90.00 gamma=90.00
Atoms (fractional coordinates):
Tb 0.0000 0.0000 0.2372
Tb 0.0000 0.0000 0.7628
Lu 0.5000 0.5000 0.5000
Sb 0.5000 0.5000 0.0000

---

[2]
CsBa2CdAu | PBE | relaxed

Calculated values
For the spin magnetization, the calculation gives 0.3 μB per cell. As for the symmetry: P4/mmm, No. 123. The calculation puts the energy relative to the elements at -0.9 eV/f.u.

Unit cell a=6.5064 b=6.5064 c=5.6124 alpha=90.00 beta=90.00 gamma=90.00
Atoms (fractional coordinates):
Cs 0.0000 0.0000 0.0000
Ba 0.0000 0.5000 0.5000
Ba 0.5000 0.0000 0.5000
Cd 0.5000 0.5000 0.0000
Au 0.5000 0.5000 0.5000

---

[3]
BaZr3H | PBE | relaxed

Calculated values
For the spin magnetization, the calculation gives 2.3 μB per cell. As for the total energy: -3.7596 eV per atom. As for the symmetry: Pm-3m, No. 221.

Unit cell a=5.3735 b=5.3735 c=5.3735 alpha=90.00 beta=90.00 gamma=90.00
Atoms (fractional coordinates):
Ba 0.0000 0.0000 0.0000
Zr 0.0000 0.0000 0.5000
Zr 0.0000 0.5000 0.0000
Zr 0.5000 0.0000 0.0000
H 0.5000 0.5000 0.5000

---

[4]
CaScS2 | PBE | relaxed

Calculated values
For the spin magnetization, the calculation gives 0.0 μB per cell. The uncorrected formation energy is -1652 meV per atom. As for the symmetry: I-42d, No. 122.

Unit cell a=7.3059 b=7.3059 c=7.3059 alpha=130.87 beta=130.87 gamma=72.02
Atoms (fractional coordinates):
Ca 0.0000 0.0000 0.0000
Ca 0.7500 0.2500 0.5000
Sc 0.2500 0.7500 0.5000
Sc 0.5000 0.5000 0.0000
S 0.1560 0.6250 0.0310
S 0.3750 0.4060 0.5310
S 0.5940 0.1250 0.9690
S 0.8750 0.8440 0.4690

---

Which formula does entry 1 have?
Tb2LuSb

---

What did the fourth record say?
CaScS2 | PBE | relaxed

Calculated values
For the spin magnetization, the calculation gives 0.0 μB per cell. The uncorrected formation energy is -1652 meV per atom. As for the symmetry: I-42d, No. 122.

Unit cell a=7.3059 b=7.3059 c=7.3059 alpha=130.87 beta=130.87 gamma=72.02
Atoms (fractional coordinates):
Ca 0.0000 0.0000 0.0000
Ca 0.7500 0.2500 0.5000
Sc 0.2500 0.7500 0.5000
Sc 0.5000 0.5000 0.0000
S 0.1560 0.6250 0.0310
S 0.3750 0.4060 0.5310
S 0.5940 0.1250 0.9690
S 0.8750 0.8440 0.4690

---

What is the formula in the fourth record?
CaScS2